Record 1
Below is a relaxed CeTmScAl crystal, with properties calculated at the PBE-GGA level.

abc: 5.198 5.198 5.198
angles: 60.00 60.00 60.00
Sites, in units of the cell vectors:
Ce  0.000  0.000  0.000
Tm  0.500  0.500  0.500
Sc  0.750  0.750  0.750
Al  0.250  0.250  0.250

Properties
DOS(E_F), states/eV/cell: 8.44
Mass density, Mg/m³: 6.4
Electronic total energy, Ha/atom: -0.19139

Record 2
Below is a relaxed CeYScAl crystal, with properties calculated at the PBE-GGA level.

abc: 5.240 5.240 5.240
angles: 60.00 60.00 60.00
Sites, in units of the cell vectors:
Ce  0.000  0.000  0.000
Y  0.500  0.500  0.500
Sc  0.250  0.250  0.250
Al  0.750  0.750  0.750

Properties
DOS(E_F), states/eV/cell: 8.40
Mass density, Mg/m³: 4.9
Electronic total energy, Ha/atom: -0.20971

Record 3
Below is a relaxed CeScAlZn crystal, with properties calculated at the PBE-GGA level.

abc: 4.965 4.965 4.965
angles: 60.00 60.00 60.00
Sites, in units of the cell vectors:
Ce  0.000  0.000  0.000
Sc  0.500  0.500  0.500
Al  0.750  0.750  0.750
Zn  0.250  0.250  0.250

Properties
DOS(E_F), states/eV/cell: 4.63
Mass density, Mg/m³: 5.3
Electronic total energy, Ha/atom: -0.17064

Record 4
Below is a relaxed CeScAl2Zn2 crystal, with properties calculated at the PBE-GGA level.

abc: 4.421 4.421 7.141
angles: 90.00 90.00 120.00
Sites, in units of the cell vectors:
Ce  0.000  0.000  0.000
Sc  0.000  0.000  0.500
Al  0.333  0.667  0.721
Al  0.667  0.333  0.279
Zn  0.333  0.667  0.292
Zn  0.667  0.333  0.708

Properties
DOS(E_F), states/eV/cell: 8.20
Mass density, Mg/m³: 5.1
Electronic total energy, Ha/atom: -0.15100

Record 5
Below is a relaxed Ce3AlSe6 crystal, with properties calculated at the PBE-GGA level.

abc: 9.175 9.175 6.940
angles: 90.00 90.00 102.31
Sites, in units of the cell vectors:
Ce  0.101  0.899  0.500
Ce  0.220  0.418  0.415
Ce  0.418  0.220  0.915
Ce  0.582  0.780  0.415
Ce  0.780  0.582  0.915
Ce  0.899  0.101  0.000
Al  0.301  0.699  0.868
Al  0.699  0.301  0.368
Se  0.071  0.599  0.703
Se  0.134  0.189  0.707
Se  0.189  0.134  0.207
Se  0.282  0.718  0.213
Se  0.401  0.929  0.703
Se  0.459  0.541  0.735
Se  0.541  0.459  0.235
Se  0.599  0.071  0.203
Se  0.718  0.282  0.713
Se  0.811  0.866  0.707
Se  0.866  0.811  0.207
Se  0.929  0.401  0.203

Properties
DOS(E_F), states/eV/cell: 42.96
Mass density, Mg/m³: 5.4
Energy relative to the elements, uncorrected, eV per atom: -1.58
Electronic total energy, Ha/atom: -0.21395

Record 6
Below is a relaxed CeAlSe3 crystal, with properties calculated at the PBE-GGA level.

abc: 8.994 8.994 7.394
angles: 102.92 102.92 80.77
Sites, in units of the cell vectors:
Ce  0.099  0.901  0.750
Ce  0.324  0.676  0.250
Ce  0.676  0.324  0.750
Ce  0.901  0.099  0.250
Al  0.204  0.387  0.756
Al  0.387  0.204  0.256
Al  0.613  0.796  0.744
Al  0.796  0.613  0.244
Se  0.007  0.218  0.654
Se  0.089  0.629  0.889
Se  0.218  0.007  0.154
Se  0.333  0.418  0.511
Se  0.371  0.911  0.611
Se  0.418  0.333  0.011
Se  0.582  0.667  0.989
Se  0.629  0.089  0.389
Se  0.667  0.582  0.489
Se  0.782  0.993  0.846
Se  0.911  0.371  0.111
Se  0.993  0.782  0.346

Properties
DOS(E_F), states/eV/cell: 28.40
Mass density, Mg/m³: 4.8
Energy relative to the elements, uncorrected, eV per atom: -1.29
Electronic total energy, Ha/atom: -0.19554

Record 7
Below is a relaxed Ce2AlSe5 crystal, with properties calculated at the PBE-GGA level.

abc: 7.391 7.391 13.096
angles: 90.00 90.00 135.27
Sites, in units of the cell vectors:
Ce  0.148  0.852  0.570
Ce  0.148  0.852  0.930
Ce  0.852  0.148  0.070
Ce  0.852  0.148  0.430
Al  0.188  0.812  0.250
Al  0.812  0.188  0.750
Se  0.051  0.949  0.122
Se  0.051  0.949  0.378
Se  0.278  0.722  0.750
Se  0.306  0.694  0.097
Se  0.306  0.694  0.403
Se  0.694  0.306  0.597
Se  0.694  0.306  0.903
Se  0.722  0.278  0.250
Se  0.949  0.051  0.622
Se  0.949  0.051  0.878

Properties
DOS(E_F), states/eV/cell: 20.51
Mass density, Mg/m³: 4.6
Energy relative to the elements, uncorrected, eV per atom: -1.29
Electronic total energy, Ha/atom: -0.19922

Record 8
Below is a relaxed CeAlSe3 crystal, with properties calculated at the PBE-GGA level.

abc: 8.047 8.047 4.802
angles: 90.00 90.00 129.33
Sites, in units of the cell vectors:
Ce  0.158  0.842  0.000
Ce  0.842  0.158  0.000
Al  0.393  0.607  0.500
Al  0.607  0.393  0.500
Se  0.000  0.500  0.500
Se  0.220  0.220  0.500
Se  0.360  0.640  0.000
Se  0.500  0.000  0.500
Se  0.640  0.360  0.000
Se  0.780  0.780  0.500

Properties
DOS(E_F), states/eV/cell: 13.31
Mass density, Mg/m³: 5.6
Energy relative to the elements, uncorrected, eV per atom: -1.07
Electronic total energy, Ha/atom: -0.18712